Density functional theory data (GGA-PBE) for Bi2SbTeP after structural relaxation.

The calculation puts the total energy at -2.939 eV per atom. The energy relative to the elements, uncorrected comes out at 1148 meV/atom.

The space group is P4/mmm (No. 123) and the conventional cell measures 5.9140, 5.9140 and 5.5928 Å, with angles of 90.00, 90.00 and 90.00 degrees. Symmetry generates all atoms from Bi at (0.0000, 0.5000, 0.0000), Sb at (0.0000, 0.0000, 0.0000), Te at (0.0000, 0.0000, 0.5000) and P at (0.5000, 0.5000, 0.5000).